## Ti3Re (PBE-GGA)

Data for Ti3Re after structural relaxation.

Cell lengths 5.5521, 5.5521, 4.3741 Å; angles 90.00, 90.00, 108.20 degrees
Fractional coordinates of all 8 atoms:
Ti1 0.1105 0.8895 0.7500
Ti2 0.1425 0.3962 0.7500
Ti3 0.3962 0.1425 0.2500
Ti4 0.6038 0.8575 0.7500
Ti5 0.8575 0.6038 0.2500
Ti6 0.8895 0.1105 0.2500
Re1 0.3692 0.6308 0.2500
Re2 0.6308 0.3692 0.7500

Properties
SG = No. 63
ΔH_f (0 K) = -0.20 eV/atom